# 1
## HgTeBr2 (GGA-PBEsol)

Data for a relaxed structure of HgTeBr2.

Output
Mass density (g cm⁻³): 6.75
Crystal system: orthorhombic
Energy relative to the lowest polymorph listed for this composition (eV per atom): 0.000
Uncorrected formation energy (eV per atom): -0.056

Unit cell a=3.9091 b=6.5419 c=9.3910 alpha=90.00 beta=90.00 gamma=90.00
Space group Immm (No. 71)
Symmetry-distinct sites (fractional):
Hg  0.0000  0.0000  0.0000
Te  0.0000  0.0000  0.5000
Br  0.0000  0.5000  0.2111

***

# 2
## ZrMn2Fe (GGA-PBEsol)

Data for a relaxed structure of ZrMn2Fe.

Output
Mass density (g cm⁻³): 7.99
Crystal system: monoclinic
Formation energy (eV/atom): 0.245

Unit cell a=2.7062 b=3.9864 c=5.0735 alpha=90.00 beta=102.72 gamma=90.00
Space group P2/m (No. 10)
Symmetry-distinct sites (fractional):
Zr  0.0000  0.0000  0.0000
Mn  0.2863  0.5000  0.7032
Fe  0.5000  0.0000  0.5000

***

# 3
## MnCu2Re (GGA-PBEsol)

Data for a relaxed structure of MnCu2Re.

Output
Mass density (g cm⁻³): 12.50
Crystal system: tetragonal
Energy relative to the lowest polymorph listed for this composition (eV per atom): 0.002
Formation energy (eV/atom): 0.238

Unit cell a=2.9559 b=2.9559 c=5.5986 alpha=90.00 beta=90.00 gamma=90.00
Space group P4mm (No. 99)
Symmetry-distinct sites (fractional):
Mn  0.0000  0.0000  0.0000
Cu  0.0000  0.0000  0.5209
Cu  0.5000  0.5000  0.7415
Re  0.5000  0.5000  0.2318

***

# 4
## Zr2Al2Ag (GGA-PBEsol)

Data for a relaxed structure of Zr2Al2Ag.

Output
Mass density (g cm⁻³): 6.14
Crystal system: tetragonal
Formation energy (eV/atom): -0.381

Unit cell a=6.6137 b=6.6137 c=4.2566 alpha=90.00 beta=90.00 gamma=90.00
Space group P4/mbm (No. 127)
Symmetry-distinct sites (fractional):
Zr  0.1637  0.3363  0.0000
Al  0.1375  0.6375  0.5000
Ag  0.0000  0.0000  0.5000

***

# 5
## BeNi2Os (GGA-PBEsol)

Data for a relaxed structure of BeNi2Os.

Output
Mass density (g cm⁻³): 12.31
Crystal system: tetragonal
Formation energy (eV/atom): 0.023

Unit cell a=3.3231 b=3.3231 c=3.8665 alpha=90.00 beta=90.00 gamma=90.00
Space group P4/mmm (No. 123)
Symmetry-distinct sites (fractional):
Be  0.0000  0.0000  0.0000
Ni  0.0000  0.5000  0.5000
Os  0.5000  0.5000  0.0000

***

# 6
## OsRu2 (GGA-PBEsol)

Data for a relaxed structure of OsRu2.

Output
Mass density (g cm⁻³): 16.09
Crystal system: orthorhombic
Energy relative to the lowest polymorph listed for this composition (eV per atom): 0.000
Formation energy (eV/atom): -0.012

Unit cell a=4.6776 b=4.2737 c=8.1016 alpha=90.00 beta=90.00 gamma=90.00
Space group Pnma (No. 62)
Symmetry-distinct sites (fractional):
Os  0.1687  0.2500  0.1668
Ru  0.1646  0.2500  0.8337
Ru  0.1668  0.2500  0.4999

***

# 7
## HfNbRuPb2 (GGA-PBEsol)

Data for a relaxed structure of HfNbRuPb2.

Output
Mass density (g cm⁻³): 9.44
Crystal system: tetragonal
Formation energy (eV/atom): 1.563

Unit cell a=5.2940 b=5.2940 c=4.9407 alpha=90.00 beta=90.00 gamma=90.00
Space group P4/mmm (No. 123)
Symmetry-distinct sites (fractional):
Hf  0.0000  0.0000  0.0000
Nb  0.0000  0.0000  0.5000
Ru  0.5000  0.5000  0.0000
Pb  0.0000  0.5000  0.5000

***

# 8
## Li2AlCd (GGA-PBEsol)

Data for a relaxed structure of Li2AlCd.

Output
Mass density (g cm⁻³): 3.74
Crystal system: monoclinic
Formation energy (eV/atom): -0.149

Unit cell a=2.8727 b=4.1575 c=5.7110 alpha=90.00 beta=94.38 gamma=90.00
Space group P2/m (No. 10)
Symmetry-distinct sites (fractional):
Li  0.0024  0.0000  0.2411
Al  0.5000  0.5000  0.0000
Cd  0.5000  0.5000  0.5000

***

# 9
## SbAs2WO (GGA-PBEsol)

Data for a relaxed structure of SbAs2WO.

Output
Mass density (g cm⁻³): 8.21
Crystal system: tetragonal
Uncorrected formation energy (eV per atom): -0.288

Unit cell a=5.0401 b=5.0401 c=3.7518 alpha=90.00 beta=90.00 gamma=90.00
Space group P4/mmm (No. 123)
Symmetry-distinct sites (fractional):
Sb  0.0000  0.0000  0.0000
As  0.0000  0.5000  0.5000
W  0.5000  0.5000  0.5000
O  0.5000  0.5000  0.0000

***

# 10
## TlInAg2 (GGA-PBEsol)

Data for a relaxed structure of TlInAg2.

Output
Mass density (g cm⁻³): 10.74
Crystal system: trigonal
Formation energy (eV/atom): 0.089

Unit cell a=3.2196 b=3.2196 c=27.6413 alpha=90.00 beta=90.00 gamma=120.00
Space group R-3m (No. 166, hexagonal axes)
Symmetry-distinct sites (fractional):
Tl  0.0000  0.0000  0.0000
In  0.0000  0.0000  0.5000
Ag  0.0000  0.0000  0.2471

***

# 11
## MgFeNi2 (GGA-PBEsol)

Data for a relaxed structure of MgFeNi2.

Output
Mass density (g cm⁻³): 6.76
Crystal system: tetragonal
Formation energy (eV/atom): -0.018

Unit cell a=2.6873 b=2.6873 c=6.7230 alpha=90.00 beta=90.00 gamma=90.00
Space group P4/mmm (No. 123)
Symmetry-distinct sites (fractional):
Mg  0.0000  0.0000  0.0000
Fe  0.0000  0.0000  0.5000
Ni  0.5000  0.5000  0.2755

***

# 12
## HfCIO2 (GGA-PBEsol)

Data for a relaxed structure of HfCIO2.

Output
Mass density (g cm⁻³): 8.79
Crystal system: tetragonal
Uncorrected formation energy (eV per atom): 0.752

Unit cell a=3.9800 b=3.9800 c=4.1655 alpha=90.00 beta=90.00 gamma=90.00
Space group P4/mmm (No. 123)
Symmetry-distinct sites (fractional):
Hf  0.0000  0.0000  0.0000
C  0.5000  0.5000  0.5000
I  0.5000  0.5000  0.0000
O  0.0000  0.5000  0.5000

***

# 13
## CdCu2Au (GGA-PBEsol)

Data for a relaxed structure of CdCu2Au.

Output
Mass density (g cm⁻³): 12.28
Crystal system: tetragonal
Formation energy (eV/atom): -0.028

Unit cell a=3.8130 b=3.8130 c=8.1197 alpha=90.00 beta=90.00 gamma=90.00
Space group I-4m2 (No. 119)
Symmetry-distinct sites (fractional):
Cd  0.0000  0.0000  0.0000
Cu  0.0000  0.0000  0.5000
Cu  0.0000  0.5000  0.2500
Au  0.0000  0.5000  0.7500

***

# 14
## Ta2TcHg (GGA-PBEsol)

Data for a relaxed structure of Ta2TcHg.

Output
Mass density (g cm⁻³): 15.79
Crystal system: monoclinic
Formation energy (eV/atom): 0.151

Unit cell a=2.8901 b=4.5553 c=5.3493 alpha=90.00 beta=99.52 gamma=90.00
Space group Pm (No. 6)
Symmetry-distinct sites (fractional):
Ta  0.0000  0.0000  0.0000
Ta  0.2759  0.5000  0.7209
Tc  0.6922  0.5000  0.1697
Hg  0.6696  0.0000  0.4812

***

# 15
## Ca2SnO (GGA-PBEsol)

Data for a relaxed structure of Ca2SnO.

Output
Mass density (g cm⁻³): 3.88
Crystal system: cubic
Uncorrected formation energy (eV per atom): -0.594

Unit cell a=7.1635 b=7.1635 c=7.1635 alpha=90.00 beta=90.00 gamma=90.00
Space group Fm-3m (No. 225)
Symmetry-distinct sites (fractional):
Ca  0.2500  0.2500  0.2500
Sn  0.0000  0.0000  0.0000
O  0.0000  0.0000  0.5000

***

# 16
## LiFe3Au (GGA-PBEsol)

Data for a relaxed structure of LiFe3Au.

Output
Mass density (g cm⁻³): 9.96
Crystal system: cubic
Energy relative to the lowest polymorph listed for this composition (eV per atom): 0.000
Formation energy (eV/atom): 0.936

Unit cell a=3.9563 b=3.9563 c=3.9563 alpha=90.00 beta=90.00 gamma=90.00
Space group Pm-3m (No. 221)
Symmetry-distinct sites (fractional):
Li  0.0000  0.0000  0.0000
Fe  0.0000  0.0000  0.5000
Au  0.5000  0.5000  0.5000

***

# 17
## Zn2TcSe (GGA-PBEsol)

Data for a relaxed structure of Zn2TcSe.

Output
Mass density (g cm⁻³): 7.44
Crystal system: orthorhombic
Energy relative to the lowest polymorph listed for this composition (eV per atom): 0.000
Uncorrected formation energy (eV per atom): 0.089

Unit cell a=2.9423 b=4.1163 c=11.3491 alpha=90.00 beta=90.00 gamma=90.00
Space group Imm2 (No. 44)
Symmetry-distinct sites (fractional):
Zn  0.0000  0.0000  0.0000
Zn  0.0000  0.5000  0.1485
Tc  0.0000  0.0000  0.4535
Se  0.0000  0.5000  0.7845

***

# 18
## Nd2US5 (GGA-PBEsol)

Data for a relaxed structure of Nd2US5.

Output
Mass density (g cm⁻³): 6.64
Crystal system: orthorhombic
Uncorrected formation energy (eV per atom): -1.853

Unit cell a=11.6979 b=7.9564 c=7.3769 alpha=90.00 beta=90.00 gamma=90.00
Space group Pnma (No. 62)
Symmetry-distinct sites (fractional):
Nd  0.1768  0.0005  0.0289
U  0.0092  0.2500  0.5717
S  0.0005  0.2500  0.9542
S  0.0926  0.5439  0.6649
S  0.1871  0.2500  0.3330
S  0.2149  0.7500  0.3066

***

# 19
## MgCd2Ag (GGA-PBEsol)

Data for a relaxed structure of MgCd2Ag.

Output
Mass density (g cm⁻³): 7.77
Crystal system: orthorhombic
Energy relative to the lowest polymorph listed for this composition (eV per atom): 0.023
Formation energy (eV/atom): -0.095

Unit cell a=3.4728 b=4.7036 c=9.3468 alpha=90.00 beta=90.00 gamma=90.00
Space group Imm2 (No. 44)
Symmetry-distinct sites (fractional):
Mg  0.0000  0.0000  0.0000
Cd  0.0000  0.0000  0.4828
Cd  0.0000  0.5000  0.2382
Ag  0.0000  0.5000  0.7411

***

# 20
## Al2Ag (GGA-PBEsol)

Data for a relaxed structure of Al2Ag.

Output
Mass density (g cm⁻³): 5.24
Crystal system: orthorhombic
Formation energy (eV/atom): -0.019

Unit cell a=3.0712 b=4.7811 c=6.9786 alpha=90.00 beta=90.00 gamma=90.00
Space group Immm (No. 71)
Symmetry-distinct sites (fractional):
Al  0.0000  0.0000  0.1910
Ag  0.0000  0.5000  0.0000

***

# 21
## AsRuPt2 (GGA-PBEsol)

Data for a relaxed structure of AsRuPt2.

Output
Mass density (g cm⁻³): 16.00
Crystal system: tetragonal
Formation energy (eV/atom): 0.054

Unit cell a=2.8602 b=2.8602 c=7.1845 alpha=90.00 beta=90.00 gamma=90.00
Space group P4mm (No. 99)
Symmetry-distinct sites (fractional):
As  0.0000  0.0000  0.0000
Ru  0.5000  0.5000  0.7859
Pt  0.0000  0.0000  0.5289
Pt  0.5000  0.5000  0.2555

***

# 22
## TlAu2 (GGA-PBEsol)

Data for a relaxed structure of TlAu2.

Output
Mass density (g cm⁻³): 16.66
Crystal system: monoclinic
Energy relative to the lowest polymorph listed for this composition (eV per atom): 0.039
Formation energy (eV/atom): 0.056

Unit cell a=11.0329 b=3.1143 c=7.4044 alpha=90.00 beta=110.35 gamma=90.00
Space group C2/m (No. 12)
Symmetry-distinct sites (fractional):
Tl  0.1581  0.0000  0.1243
Au  0.0536  0.5000  0.7556
Au  0.1461  0.0000  0.5129

***

# 23
## MnMo2Ir (GGA-PBEsol)

Data for a relaxed structure of MnMo2Ir.

Output
Mass density (g cm⁻³): 13.09
Crystal system: tetragonal
Energy relative to the lowest polymorph listed for this composition (eV per atom): 0.078
Formation energy (eV/atom): 0.030

Unit cell a=3.8003 b=3.8003 c=7.7107 alpha=90.00 beta=90.00 gamma=90.00
Space group I-4m2 (No. 119)
Symmetry-distinct sites (fractional):
Mn  0.0000  0.0000  0.0000
Mo  0.0000  0.0000  0.5000
Mo  0.0000  0.5000  0.2500
Ir  0.0000  0.5000  0.7500

***

# 24
## Be2CuSe (GGA-PBEsol)

Data for a relaxed structure of Be2CuSe.

Output
Mass density (g cm⁻³): 4.59
Crystal system: monoclinic
Uncorrected formation energy (eV per atom): 0.146

Unit cell a=7.3004 b=3.3702 c=4.7480 alpha=90.00 beta=95.87 gamma=90.00
Space group Cm (No. 8)
Symmetry-distinct sites (fractional):
Be  0.0000  0.0000  0.0000
Be  0.1966  0.5000  0.9502
Cu  0.3023  0.0000  0.2061
Se  0.4454  0.0000  0.6804

***

# 25
## LaSc3Co (GGA-PBEsol)

Data for a relaxed structure of LaSc3Co.

Output
Mass density (g cm⁻³): 4.66
Crystal system: cubic
Formation energy (eV/atom): -0.106

Unit cell a=4.9124 b=4.9124 c=4.9124 alpha=90.00 beta=90.00 gamma=90.00
Space group Pm-3m (No. 221)
Symmetry-distinct sites (fractional):
La  0.0000  0.0000  0.0000
Sc  0.0000  0.5000  0.5000
Co  0.5000  0.5000  0.5000

***

# 26
## H2Ir2Ru (GGA-PBEsol)

Data for a relaxed structure of H2Ir2Ru.

Output
Mass density (g cm⁻³): 16.87
Crystal system: tetragonal
Electronic total energy (eV/atom): -6.919

Unit cell a=3.4364 b=3.4364 c=8.1270 alpha=90.00 beta=90.00 gamma=90.00
Space group I4/mmm (No. 139)
Symmetry-distinct sites (fractional):
H  0.0000  0.5000  0.2500
Ir  0.0000  0.0000  0.1595
Ru  0.0000  0.0000  0.5000

***

# 27
## Zr2Sc (GGA-PBEsol)

Data for a relaxed structure of Zr2Sc.

Output
Mass density (g cm⁻³): 5.62
Crystal system: tetragonal
Formation energy (eV/atom): 0.041

Unit cell a=3.1000 b=3.1000 c=13.9714 alpha=90.00 beta=90.00 gamma=90.00
Space group I4/mmm (No. 139)
Symmetry-distinct sites (fractional):
Zr  0.0000  0.0000  0.1687
Sc  0.0000  0.0000  0.5000

***

# 28
## AgWC2 (GGA-PBEsol)

Data for a relaxed structure of AgWC2.

Output
Mass density (g cm⁻³): 9.47
Crystal system: tetragonal
Formation energy (eV/atom): 1.007

Unit cell a=4.8831 b=4.8831 c=9.2886 alpha=90.00 beta=90.00 gamma=90.00
Space group I-42d (No. 122)
Symmetry-distinct sites (fractional):
Ag  0.0000  0.0000  0.0000
W  0.0000  0.0000  0.5000
C  0.2058  0.2500  0.6250

***

Number 1: volume 120.1 Å³/f.u.. Number 2: volume 53.4 Å³/f.u.. Number 3: volume 48.9 Å³/f.u.. Number 4: volume 93.1 Å³/f.u.. Number 5: volume 42.7 Å³/f.u.. Number 6: volume 40.5 Å³/f.u.. Number 7: volume 138.5 Å³/f.u.. Number 8: volume 68.0 Å³/f.u.. Number 9: volume 95.3 Å³/f.u.. Number 10: volume 82.7 Å³/f.u.. Number 11: volume 48.5 Å³/f.u.. Number 12: volume 66.0 Å³/f.u.. Number 13: volume 59.0 Å³/f.u.. Number 14: volume 69.5 Å³/f.u.. Number 15: volume 91.9 Å³/f.u.. Number 16: volume 61.9 Å³/f.u.. Number 17: volume 68.7 Å³/f.u.. Number 18: volume 171.6 Å³/f.u.. Number 19: volume 76.3 Å³/f.u.. Number 20: volume 51.2 Å³/f.u.. Number 21: volume 58.8 Å³/f.u.. Number 22: volume 59.6 Å³/f.u.. Number 23: volume 55.7 Å³/f.u.. Number 24: volume 58.1 Å³/f.u.. Number 25: volume 118.5 Å³/f.u.. Number 26: volume 48.0 Å³/f.u.. Number 27: volume 67.1 Å³/f.u.. Number 28: volume 55.4 Å³/f.u..